Material: HoUTc
Method: DFT, PBE
State: optimized geometry

Total magnetization ... 0.4382 μB per atom
Energy of formation ... 0.98 eV per atom

Unit cell a=6.5231 b=6.5231 c=6.5231 alpha=90.00 beta=90.00 gamma=90.00
Sites, in units of the cell vectors:
Ho (0.0000, 0.0000, 0.0000)
Ho (0.0000, 0.5000, 0.5000)
Ho (0.5000, 0.0000, 0.5000)
Ho (0.5000, 0.5000, 0.0000)
U (0.2500, 0.2500, 0.2500)
U (0.2500, 0.7500, 0.7500)
U (0.7500, 0.2500, 0.7500)
U (0.7500, 0.7500, 0.2500)
Tc (0.0000, 0.0000, 0.5000)
Tc (0.0000, 0.5000, 0.0000)
Tc (0.5000, 0.0000, 0.0000)
Tc (0.5000, 0.5000, 0.5000)



Material: LaNd2Fe2Ge4Ir2
Method: DFT, PBE
State: optimized geometry

Total magnetization ... 0.3316 μB per atom
Calculated total energy ... -6.703 eV per atom

Unit cell a=12.8012 b=12.8012 c=12.8012 alpha=161.43 beta=160.88 gamma=26.78
Sites, in units of the cell vectors:
La (0.0000, 0.0000, 0.0000)
Nd (0.3529, 0.8529, 0.5000)
Nd (0.6471, 0.1471, 0.5000)
Fe (0.0972, 0.5972, 0.5000)
Fe (0.9028, 0.4028, 0.5000)
Ge (0.1940, 0.6940, 0.5000)
Ge (0.4468, 0.4468, 0.0000)
Ge (0.5532, 0.5532, 0.0000)
Ge (0.8060, 0.3060, 0.5000)
Ir (0.2499, 0.2499, 0.0000)
Ir (0.7501, 0.7501, 0.0000)



Material: Sc2ZnAg
Method: DFT, PBE
State: optimized geometry

Total magnetization ... 0.0019 μB per atom
Energy of formation ... -0.16 eV per atom

Unit cell a=4.7898 b=6.2073 c=10.5461 alpha=90.00 beta=90.00 gamma=90.00
Sites, in units of the cell vectors:
Sc (0.0000, 0.0000, 0.0000)
Sc (0.0000, 0.2366, 0.7489)
Sc (0.0000, 0.2634, 0.2489)
Sc (0.0000, 0.5000, 0.5000)
Sc (0.0000, 0.7366, 0.2489)
Sc (0.0000, 0.7634, 0.7489)
Sc (0.5000, 0.0000, 0.3520)
Sc (0.5000, 0.5000, 0.8520)
Zn (0.0000, 0.0000, 0.4965)
Zn (0.0000, 0.5000, 0.9965)
Zn (0.5000, 0.0000, 0.8374)
Zn (0.5000, 0.5000, 0.3374)
Ag (0.5000, 0.2449, 0.5880)
Ag (0.5000, 0.2551, 0.0880)
Ag (0.5000, 0.7449, 0.0880)
Ag (0.5000, 0.7551, 0.5880)



Material: YTmCd4
Method: DFT, PBE
State: optimized geometry

Total magnetization ... 0.0029 μB per atom
Energy of formation ... -0.32 eV per atom

Unit cell a=3.3954 b=4.9347 c=8.5449 alpha=90.00 beta=90.03 gamma=90.00
Sites, in units of the cell vectors:
Y (0.0000, 0.0000, 0.0000)
Tm (0.0000, 0.5000, 0.5000)
Cd (0.4942, 0.0000, 0.6663)
Cd (0.4943, 0.5000, 0.1669)
Cd (0.5058, 0.0000, 0.3337)
Cd (0.5057, 0.5000, 0.8331)



Material: PmSmSi3
Method: DFT, PBE
State: optimized geometry

Total magnetization ... 0.0003 μB per atom
Calculated total energy ... -5.841 eV per atom

Unit cell a=12.5955 b=12.5955 c=3.9957 alpha=90.00 beta=90.00 gamma=160.42
Sites, in units of the cell vectors:
Pm (0.0692, 0.9308, 0.7500)
Pm (0.9308, 0.0692, 0.2500)
Sm (0.2022, 0.7978, 0.2500)
Sm (0.7978, 0.2022, 0.7500)
Si (0.3240, 0.6760, 0.2500)
Si (0.3811, 0.6189, 0.7500)
Si (0.4755, 0.5245, 0.7500)
Si (0.5245, 0.4755, 0.2500)
Si (0.6189, 0.3811, 0.2500)
Si (0.6760, 0.3240, 0.7500)



Material: MgCoCu4As2
Method: DFT, PBE
State: optimized geometry

Total magnetization ... 0.1271 μB per atom
Calculated total energy ... -3.940 eV per atom

Unit cell a=4.3284 b=4.3284 c=5.8541 alpha=90.00 beta=90.00 gamma=90.00
Sites, in units of the cell vectors:
Mg (0.0000, 0.0000, 0.0000)
Co (0.5000, 0.5000, 0.5000)
Cu (0.0000, 0.5000, 0.2690)
Cu (0.0000, 0.5000, 0.7310)
Cu (0.5000, 0.0000, 0.2690)
Cu (0.5000, 0.0000, 0.7310)
As (0.0000, 0.0000, 0.5000)
As (0.5000, 0.5000, 0.0000)



Material: PmZrB4
Method: DFT, PBE
State: optimized geometry

Total magnetization ... 0.0004 μB per atom
Calculated total energy ... -7.265 eV per atom

Unit cell a=3.2569 b=5.6700 c=7.6095 alpha=90.00 beta=90.00 gamma=90.00
Sites, in units of the cell vectors:
Pm (0.0000, 0.0000, 0.0000)
Pm (0.5000, 0.5000, 0.5000)
Zr (0.0000, 0.0000, 0.5000)
Zr (0.5000, 0.5000, 0.0000)
B (0.0000, 0.3341, 0.2470)
B (0.0000, 0.3341, 0.7530)
B (0.0000, 0.6659, 0.2470)
B (0.0000, 0.6659, 0.7530)
B (0.5000, 0.1659, 0.2530)
B (0.5000, 0.1659, 0.7470)
B (0.5000, 0.8341, 0.2530)
B (0.5000, 0.8341, 0.7470)



Material: Sc3AgO
Method: DFT, PBE
State: optimized geometry

Total magnetization ... 0.0002 μB per atom
Calculated total energy ... -6.694 eV per atom

Unit cell a=4.3999 b=4.3999 c=4.3999 alpha=90.00 beta=90.00 gamma=90.00
Sites, in units of the cell vectors:
Sc (0.0000, 0.0000, 0.5000)
Sc (0.0000, 0.5000, 0.0000)
Sc (0.5000, 0.0000, 0.0000)
Ag (0.5000, 0.5000, 0.5000)
O (0.0000, 0.0000, 0.0000)



Material: Lu2Nb4As3N3
Method: DFT, PBE
State: optimized geometry

Total magnetization ... 0.0000 μB per atom
Calculated total energy ... -8.352 eV per atom

Unit cell a=5.8809 b=5.8809 c=12.5503 alpha=103.21 beta=103.21 gamma=60.54
Sites, in units of the cell vectors:
Lu (0.0340, 0.8684, 0.6042)
Lu (0.1316, 0.9660, 0.8958)
Lu (0.8684, 0.0340, 0.1042)
Lu (0.9660, 0.1316, 0.3958)
Nb (0.1964, 0.3707, 0.0881)
Nb (0.3119, 0.4612, 0.4122)
Nb (0.3707, 0.1964, 0.5881)
Nb (0.4612, 0.3119, 0.9122)
Nb (0.5388, 0.6881, 0.0878)
Nb (0.6293, 0.8036, 0.4119)
Nb (0.6881, 0.5388, 0.5878)
Nb (0.8036, 0.6293, 0.9119)
As (0.0799, 0.2771, 0.7496)
As (0.2771, 0.0799, 0.2496)
As (0.4389, 0.5611, 0.7500)
As (0.5611, 0.4389, 0.2500)
As (0.7229, 0.9201, 0.7504)
As (0.9201, 0.7229, 0.2504)
N (0.0000, 0.5000, 0.5000)
N (0.1596, 0.6807, 0.9999)
N (0.3193, 0.8404, 0.5001)
N (0.5000, 0.0000, 0.0000)
N (0.6807, 0.1596, 0.4999)
N (0.8404, 0.3193, 0.0001)



Material: ScZnCuW
Method: DFT, PBE
State: optimized geometry

Total magnetization ... 0.4933 μB per atom
Energy of formation ... 0.48 eV per atom

Unit cell a=6.3708 b=6.3708 c=6.3708 alpha=90.00 beta=90.00 gamma=90.00
Sites, in units of the cell vectors:
Sc (0.0000, 0.0000, 0.0000)
Sc (0.0000, 0.5000, 0.5000)
Sc (0.5000, 0.0000, 0.5000)
Sc (0.5000, 0.5000, 0.0000)
Zn (0.0000, 0.0000, 0.5000)
Zn (0.0000, 0.5000, 0.0000)
Zn (0.5000, 0.0000, 0.0000)
Zn (0.5000, 0.5000, 0.5000)
Cu (0.2500, 0.2500, 0.7500)
Cu (0.2500, 0.7500, 0.2500)
Cu (0.7500, 0.2500, 0.2500)
Cu (0.7500, 0.7500, 0.7500)
W (0.2500, 0.2500, 0.2500)
W (0.2500, 0.7500, 0.7500)
W (0.7500, 0.2500, 0.7500)
W (0.7500, 0.7500, 0.2500)



Material: SrAlCd
Method: DFT, PBE
State: optimized geometry

Calculated total energy ... -1.716 eV per atom

Unit cell a=7.4332 b=7.4332 c=7.4332 alpha=90.00 beta=90.00 gamma=90.00
Sites, in units of the cell vectors:
Sr (0.0000, 0.0000, 0.0000)
Sr (0.0000, 0.5000, 0.5000)
Sr (0.5000, 0.0000, 0.5000)
Sr (0.5000, 0.5000, 0.0000)
Al (0.2500, 0.2500, 0.7500)
Al (0.2500, 0.7500, 0.2500)
Al (0.7500, 0.2500, 0.2500)
Al (0.7500, 0.7500, 0.7500)
Cd (0.2500, 0.2500, 0.2500)
Cd (0.2500, 0.7500, 0.7500)
Cd (0.7500, 0.2500, 0.7500)
Cd (0.7500, 0.7500, 0.2500)



Material: MgAu
Method: DFT, PBE
State: optimized geometry

Calculated total energy ... -3.021 eV per atom

Unit cell a=3.2895 b=3.2895 c=3.2895 alpha=90.00 beta=90.00 gamma=90.00
Sites, in units of the cell vectors:
Mg (0.0000, 0.0000, 0.0000)
Au (0.5000, 0.5000, 0.5000)